Record 1
AgPt: relaxed, GGA-PBE.

The energy relative to the elements comes out at 0.07 eV per atom. The total energy comes out at -4.3732 eV per atom. Its density of states at the Fermi level is 3.72 states/eV per cell.

Lattice parameters (Å, degrees): 4.871 4.871 4.871 129.88 129.88 73.60
Fractional coordinates of all 4 atoms:
Pt: 0.250 0.750 0.500
Ag: 0.000 0.000 0.000
Ag: 0.750 0.250 0.500
Pt: 0.500 0.500 0.000

Record 2
Ag3Pt2: relaxed, GGA-PBE.

The energy relative to the elements comes out at 0.25 eV per atom. The total energy comes out at -3.8753 eV per atom. The value obtained for the polymorph energy (0 for the lowest one) is 307 meV per atom. Its density of states at the Fermi level is 7.57 states/eV per cell.

Lattice parameters (Å, degrees): 5.407 5.407 7.869 69.91 69.91 60.00
Fractional coordinates of all 10 atoms:
Ag: 0.251 0.249 0.750
Ag: 0.750 0.251 0.750
Ag: 0.751 0.250 0.250
Pt: 0.189 0.189 0.432
Ag: 0.249 0.750 0.750
Ag: 0.749 0.751 0.250
Ag: 0.250 0.749 0.250
Pt: 0.689 0.689 0.932
Pt: 0.811 0.811 0.568
Pt: 0.311 0.311 0.068

Record 3
AgPt8: relaxed, GGA-PBE.

The energy relative to the elements comes out at 0.01 eV per atom. The total energy comes out at -5.6755 eV per atom. The value obtained for the polymorph energy (0 for the lowest one) is 0 meV per atom. Its density of states at the Fermi level is 13.79 states/eV per cell.

Lattice parameters (Å, degrees): 4.872 6.923 4.873 89.98 60.01 89.97
Fractional coordinates of all 9 atoms:
Pt: 0.000 0.667 0.335
Pt: 0.335 0.333 0.000
Pt: 0.333 0.000 0.333
Pt: 0.667 0.000 0.667
Pt: 0.335 0.667 0.665
Pt: 0.000 0.333 0.665
Ag: 0.000 0.000 0.000
Pt: 0.665 0.667 0.000
Pt: 0.665 0.333 0.335